Record 1
# LiTlZnGe (GGA-PBE, optimized geometry)
# Calculated formation energy = -10 meV per atom
# Energy relative to the lowest polymorph listed for this composition = 0.0646 eV/atom
# Crystal system = tetragonal
data_LiTlZnGe
_cell_length_a 3.413
_cell_length_b 3.413
_cell_length_c 6.846
_cell_angle_alpha 90.00
_cell_angle_beta 90.00
_cell_angle_gamma 90.00
_symmetry_space_group_name_H-M 'P 4 m m'
_symmetry_Int_Tables_number 99
loop_
_symmetry_equiv_pos_as_xyz
'x,y,z'
'-y,x,z'
'-x,-y,z'
'y,-x,z'
'-x,y,z'
'y,x,z'
'x,-y,z'
'-y,-x,z'
loop_
_atom_site_label
_atom_site_fract_x
_atom_site_fract_y
_atom_site_fract_z
_atom_site_occupancy
Li1 0.000 0.000 0.000 1
Tl1 0.500 0.500 0.288 1
Zn1 0.000 0.000 0.584 1
Ge1 0.500 0.500 0.771 1



Record 2
# Ce2ZnSi2 (GGA-PBE, optimized geometry)
# Crystal system = monoclinic
# Formation energy without anion corrections = -2.86 eV per formula unit
data_Ce2ZnSi2
_cell_length_a 10.789
_cell_length_b 4.198
_cell_length_c 10.617
_cell_angle_alpha 90.00
_cell_angle_beta 119.34
_cell_angle_gamma 90.00
_symmetry_space_group_name_H-M 'C 1 2/m 1'
_symmetry_Int_Tables_number 12
loop_
_symmetry_equiv_pos_as_xyz
'x,y,z'
'-x,-y,-z'
'-x,y,-z'
'x,-y,z'
'x+1/2,y+1/2,z'
'-x+1/2,-y+1/2,-z'
'-x+1/2,y+1/2,-z'
'x+1/2,-y+1/2,z'
loop_
_atom_site_label
_atom_site_fract_x
_atom_site_fract_y
_atom_site_fract_z
_atom_site_occupancy
Ce1 0.071 0.000 0.353 1
Ce2 0.205 0.000 0.065 1
Zn1 0.237 0.000 0.699 1
Si1 0.012 0.500 0.119 1
Si2 0.120 0.500 0.591 1



Record 3
# NaCu2GePd (GGA-PBE, optimized geometry)
# Calculated formation energy = 152 meV per atom
# Crystal system = tetragonal
data_NaCu2GePd
_cell_length_a 4.587
_cell_length_b 4.587
_cell_length_c 4.791
_cell_angle_alpha 90.00
_cell_angle_beta 90.00
_cell_angle_gamma 90.00
_symmetry_space_group_name_H-M 'P 4/m m m'
_symmetry_Int_Tables_number 123
_symmetry_space_group_name_Hall '-P 4 2'
loop_
_atom_site_label
_atom_site_fract_x
_atom_site_fract_y
_atom_site_fract_z
_atom_site_occupancy
Na1 0.000 0.000 0.000 1
Cu1 0.000 0.500 0.500 1
Ge1 0.500 0.500 0.500 1
Pd1 0.500 0.500 0.000 1



Record 4
# Li2CaEr2Ga2 (GGA-PBE, optimized geometry)
# Calculated formation energy = -249 meV per atom
# Crystal system = trigonal
data_Li2CaEr2Ga2
_cell_length_a 4.6628
_cell_length_b 4.6628
_cell_length_c 26.7379
_cell_angle_alpha 90.00
_cell_angle_beta 90.00
_cell_angle_gamma 120.00
_symmetry_space_group_name_H-M 'R -3 m'
_symmetry_Int_Tables_number 166
_symmetry_space_group_name_Hall '-R 3 2"'
loop_
_atom_site_label
_atom_site_fract_x
_atom_site_fract_y
_atom_site_fract_z
_atom_site_occupancy
Li1 0.0000 0.0000 0.0985 1
Ca1 0.0000 0.0000 0.5000 1
Er1 0.0000 0.0000 0.3714 1
Ga1 0.0000 0.0000 0.2481 1



Record 5
# Co4CuMo (GGA-PBE, optimized geometry)
# Calculated formation energy = 121 meV per atom
# Crystal system = cubic
data_Co4CuMo
_cell_length_a 6.529
_cell_length_b 6.529
_cell_length_c 6.529
_cell_angle_alpha 90.00
_cell_angle_beta 90.00
_cell_angle_gamma 90.00
_symmetry_space_group_name_H-M 'F -4 3 m'
_symmetry_Int_Tables_number 216
_symmetry_space_group_name_Hall 'F -4 2 3'
loop_
_atom_site_label
_atom_site_fract_x
_atom_site_fract_y
_atom_site_fract_z
_atom_site_occupancy
Co1 0.124 0.124 0.124 1
Cu1 0.250 0.250 0.750 1
Mo1 0.000 0.000 0.500 1



Record 6
# TbLu2N (GGA-PBE, optimized geometry)
# Crystal system = tetragonal
# Formation energy without anion corrections = -0.90 eV per formula unit
data_TbLu2N
_cell_length_a 3.114
_cell_length_b 3.114
_cell_length_c 8.570
_cell_angle_alpha 90.00
_cell_angle_beta 90.00
_cell_angle_gamma 90.00
_symmetry_space_group_name_H-M 'P 4/m m m'
_symmetry_Int_Tables_number 123
_symmetry_space_group_name_Hall '-P 4 2'
loop_
_atom_site_label
_atom_site_fract_x
_atom_site_fract_y
_atom_site_fract_z
_atom_site_occupancy
Tb1 0.000 0.000 0.000 1
Lu1 0.500 0.500 0.338 1
N1 0.000 0.000 0.500 1



Record 7
# ThGeBi (GGA-PBE, optimized geometry)
# Calculated formation energy = -190 meV per atom
# Energy relative to the lowest polymorph listed for this composition = 0.3474 eV/atom
# Crystal system = trigonal
data_ThGeBi
_cell_length_a 4.9498
_cell_length_b 4.9498
_cell_length_c 3.9508
_cell_angle_alpha 90.00
_cell_angle_beta 90.00
_cell_angle_gamma 120.00
_symmetry_space_group_name_H-M 'P 3 m 1'
_symmetry_Int_Tables_number 156
loop_
_symmetry_equiv_pos_as_xyz
'x,y,z'
'-y,x-y,z'
'-x+y,-x,z'
'-y,-x,z'
'-x+y,y,z'
'x,x-y,z'
loop_
_atom_site_label
_atom_site_fract_x
_atom_site_fract_y
_atom_site_fract_z
_atom_site_occupancy
Th1 0.0000 0.0000 0.0000 1
Ge1 0.6667 0.3333 0.5036 1
Bi1 0.3333 0.6667 0.4991 1



Record 8
# Pr2Ni3Ge4Pt (GGA-PBE, optimized geometry)
# Calculated formation energy = -750 meV per atom
# Crystal system = tetragonal
data_Pr2Ni3Ge4Pt
_cell_length_a 4.222
_cell_length_b 4.222
_cell_length_c 9.869
_cell_angle_alpha 90.00
_cell_angle_beta 90.00
_cell_angle_gamma 90.00
_symmetry_space_group_name_H-M 'P -4 m 2'
_symmetry_Int_Tables_number 115
loop_
_symmetry_equiv_pos_as_xyz
'x,y,z'
'y,-x,-z'
'-x,-y,z'
'-y,x,-z'
'-x,y,z'
'-y,-x,-z'
'x,-y,z'
'y,x,-z'
loop_
_atom_site_label
_atom_site_fract_x
_atom_site_fract_y
_atom_site_fract_z
_atom_site_occupancy
Pr1 0.000 0.500 0.245 1
Ni1 0.000 0.500 0.881 1
Ni2 0.500 0.500 0.500 1
Ge1 0.000 0.000 0.000 1
Ge2 0.000 0.500 0.639 1
Ge3 0.500 0.500 0.000 1
Pt1 0.000 0.000 0.500 1



Repeat the fifth record exactly.
# Co4CuMo (GGA-PBE, optimized geometry)
# Calculated formation energy = 121 meV per atom
# Crystal system = cubic
data_Co4CuMo
_cell_length_a 6.529
_cell_length_b 6.529
_cell_length_c 6.529
_cell_angle_alpha 90.00
_cell_angle_beta 90.00
_cell_angle_gamma 90.00
_symmetry_space_group_name_H-M 'F -4 3 m'
_symmetry_Int_Tables_number 216
_symmetry_space_group_name_Hall 'F -4 2 3'
loop_
_atom_site_label
_atom_site_fract_x
_atom_site_fract_y
_atom_site_fract_z
_atom_site_occupancy
Co1 0.124 0.124 0.124 1
Cu1 0.250 0.250 0.750 1
Mo1 0.000 0.000 0.500 1



Question: Number 2 is which compound?
Answer: Ce2ZnSi2